Record 1
TmNiPt | GGA-PBE | relaxed

a = 5.076 Å, b = 5.446 Å, c = 7.288 Å
α = 90.00°, β = 90.00°, γ = 90.00°
Space group Imma (No. 74)
Asymmetric unit:
Tm  0.000  0.250  0.119 [4 per cell]
Ni  0.250  0.250  0.750 [4 per cell]
Pt  0.000  0.000  0.500 [4 per cell]

Values from the calculation:
Total DFT energy (no corrections) = -75.92 eV/cell
Energy of formation from the pure elements = -0.896 eV per atom


Record 2
Tm8NiPt2 | GGA-PBE | relaxed

a = 8.350 Å, b = 12.401 Å, c = 5.894 Å
α = 90.00°, β = 109.69°, γ = 90.00°
Space group Cm (No. 8)
Asymmetric unit:
Tm  0.000  0.000  0.000 [2 per cell]
Tm  0.059  0.371  0.798 [4 per cell]
Tm  0.143  0.129  0.585 [4 per cell]
Tm  0.209  0.500  0.364 [2 per cell]
Tm  0.356  0.210  0.179 [4 per cell]
Ni  0.352  0.000  0.996 [2 per cell]
Pt  0.350  0.314  0.687 [4 per cell]

Values from the calculation:
Total DFT energy (no corrections) = -117.99 eV/cell
Energy of formation from the pure elements = -0.487 eV per atom


Record 3
Tm8Ni3Pt2 | GGA-PBE | relaxed

a = 14.367 Å, b = 7.077 Å, c = 6.460 Å
α = 90.00°, β = 105.02°, γ = 90.00°
Space group C2/m (No. 12)
Asymmetric unit:
Tm  0.085  0.000  0.372 [4 per cell]
Tm  0.122  0.255  0.882 [8 per cell]
Tm  0.151  0.500  0.385 [4 per cell]
Ni  0.000  0.318  0.500 [4 per cell]
Ni  0.000  0.500  0.000 [2 per cell]
Pt  0.235  0.000  0.186 [4 per cell]

Values from the calculation:
Total DFT energy (no corrections) = -144.47 eV/cell
Energy of formation from the pure elements = -0.541 eV per atom


Record 4
Tm3Ni2Pt | GGA-PBE | relaxed

a = 11.331 Å, b = 3.976 Å, c = 11.113 Å
α = 90.00°, β = 90.00°, γ = 90.00°
Space group Pnma (No. 62)
Asymmetric unit:
Tm  0.053  0.250  0.122 [4 per cell]
Tm  0.122  0.750  0.565 [4 per cell]
Tm  0.205  0.250  0.817 [4 per cell]
Ni  0.004  0.750  0.302 [4 per cell]
Ni  0.181  0.750  0.001 [4 per cell]
Pt  0.125  0.250  0.376 [4 per cell]

Values from the calculation:
Total DFT energy (no corrections) = -140.00 eV/cell
Energy of formation from the pure elements = -0.664 eV per atom